(1)
{"formula": "Fe4Co", "functional": "PBE-GGA", "state": "relaxed", "lattice": [[-3.1841, 3.1841, 1.4285], [3.1841, -3.1841, 1.4285], [3.1841, 3.1841, -1.4285]], "species": ["Fe", "Fe", "Fe", "Fe", "Co"], "fractional_positions": [[0.0991, 0.2983, 0.3973], [0.2983, 0.9009, 0.1992], [0.7017, 0.0991, 0.8008], [0.9009, 0.7017, 0.6027], [0.5000, 0.5000, 0.0000]], "final_energy_ev_per_atom": -8.22, "delta_e_f_ev_per_atom": -0.033, "relative_energy_mev_per_atom": 1.2, "m_tot_mub_per_cell": 11.9, "mass_density_g_cm3": 8.09}


(2)
{"formula": "La2GaCuC", "functional": "PBE-GGA", "state": "relaxed", "lattice": [[5.3674, 0.0000, 0.0000], [0.0000, 5.3674, 0.0000], [0.0000, 0.0000, 3.7952]], "species": ["La", "La", "Ga", "Cu", "C"], "fractional_positions": [[0.0000, 0.5000, 0.0000], [0.5000, 0.0000, 0.0000], [0.0000, 0.0000, 0.5000], [0.5000, 0.5000, 0.5000], [0.5000, 0.5000, 0.0000]], "final_energy_ev_per_atom": -5.44, "delta_e_f_ev_per_atom": -0.195, "relative_energy_mev_per_atom": 0.0, "m_tot_mub_per_cell": 0.0, "mass_density_g_cm3": 6.43}


(3)
{"formula": "Pm8Er5Tm", "functional": "PBE-GGA", "state": "relaxed", "lattice": [[-4.8253, 4.8253, 5.0985], [4.8253, -4.8253, 5.0985], [4.8253, 4.8253, -5.0985]], "species": ["Pm", "Pm", "Pm", "Pm", "Pm", "Pm", "Pm", "Pm", "Er", "Er", "Er", "Er", "Er", "Tm"], "fractional_positions": [[0.1742, 0.4074, 0.5877], [0.3290, 0.2246, 0.2413], [0.4135, 0.8258, 0.2331], [0.5926, 0.1804, 0.7669], [0.7754, 0.0167, 0.1044], [0.8196, 0.5865, 0.4123], [0.9123, 0.6710, 0.8956], [0.9833, 0.0877, 0.7587], [0.0674, 0.4711, 0.1870], [0.1197, 0.9326, 0.4037], [0.2841, 0.8803, 0.8130], [0.5289, 0.7159, 0.5963], [0.7500, 0.2500, 0.5000], [0.5000, 0.5000, 0.0000]], "final_energy_ev_per_atom": -4.41, "delta_e_f_ev_per_atom": 0.257, "m_tot_mub_per_cell": 0.0, "mass_density_g_cm3": 7.57}